TlCuNiMo: optimized geometry, PBE.

Unit cell a=6.297 b=6.297 c=6.297 alpha=90.00 beta=90.00 gamma=90.00
Positions (direct):
Tl1 0.000 0.000 0.000
Tl2 0.000 0.500 0.500
Tl3 0.500 0.000 0.500
Tl4 0.500 0.500 0.000
Cu1 0.250 0.250 0.250
Cu2 0.250 0.750 0.750
Cu3 0.750 0.250 0.750
Cu4 0.750 0.750 0.250
Ni1 0.000 0.000 0.500
Ni2 0.000 0.500 0.000
Ni3 0.500 0.000 0.000
Ni4 0.500 0.500 0.500
Mo1 0.250 0.250 0.750
Mo2 0.250 0.750 0.250
Mo3 0.750 0.250 0.250
Mo4 0.750 0.750 0.750

Output
ρ = 11243 kg/m3
total DFT energy (no corrections) = -5.008 eV/atom


CsNd2CuSe3S: optimized geometry, PBE.

Unit cell a=7.671 b=7.671 c=14.744 alpha=90.00 beta=90.00 gamma=148.18
Positions (direct):
Cs1 0.108 0.892 0.750
Cs2 0.892 0.108 0.250
Nd1 0.370 0.630 0.560
Nd2 0.370 0.630 0.940
Nd3 0.630 0.370 0.060
Nd4 0.630 0.370 0.440
Cu1 0.166 0.834 0.250
Cu2 0.834 0.166 0.750
Se1 0.259 0.741 0.110
Se2 0.259 0.741 0.390
Se3 0.423 0.577 0.750
Se4 0.577 0.423 0.250
Se5 0.741 0.259 0.610
Se6 0.741 0.259 0.890
S1 0.000 0.000 0.000
S2 0.000 0.000 0.500

Output
ρ = 5473 kg/m3
total DFT energy (no corrections) = -5.099 eV/atom


NdDySi: optimized geometry, PBE.

Unit cell a=6.981 b=6.981 c=6.981 alpha=90.00 beta=90.00 gamma=90.00
Positions (direct):
Nd1 0.000 0.000 0.000
Nd2 0.000 0.500 0.500
Nd3 0.500 0.000 0.500
Nd4 0.500 0.500 0.000
Dy1 0.000 0.000 0.500
Dy2 0.000 0.500 0.000
Dy3 0.500 0.000 0.000
Dy4 0.500 0.500 0.500
Si1 0.250 0.250 0.750
Si2 0.250 0.750 0.250
Si3 0.750 0.250 0.250
Si4 0.750 0.750 0.750

Output
ρ = 6537 kg/m3
total DFT energy (no corrections) = -5.377 eV/atom


ReSnSe2S2: optimized geometry, PBE.

Unit cell a=6.597 b=6.991 c=7.509 alpha=117.54 beta=106.61 gamma=91.24
Positions (direct):
Re1 0.004 0.197 0.499
Re2 0.996 0.803 0.501
Sn1 0.004 0.736 0.979
Sn2 0.996 0.264 0.021
Se1 0.228 0.608 0.711
Se2 0.255 0.665 0.300
Se3 0.745 0.335 0.700
Se4 0.772 0.392 0.289
S1 0.216 0.130 0.284
S2 0.236 0.134 0.757
S3 0.764 0.866 0.243
S4 0.784 0.870 0.716

Output
ρ = 6047 kg/m3
total DFT energy (no corrections) = -5.585 eV/atom


Pt8W: optimized geometry, PBE.

Unit cell a=6.269 b=6.269 c=6.269 alpha=95.66 beta=95.66 gamma=143.40
Positions (direct):
Pt1 0.000 0.329 0.329
Pt2 0.000 0.671 0.671
Pt3 0.329 0.000 0.329
Pt4 0.338 0.338 0.677
Pt5 0.338 0.662 0.000
Pt6 0.662 0.338 0.000
Pt7 0.662 0.662 0.323
Pt8 0.671 0.000 0.671
W1 0.000 0.000 0.000

Output
ρ = 20776 kg/m3
ΔE_f = -0.201 eV per atom


InAsIrO: optimized geometry, PBE.

Unit cell a=4.000 b=4.000 c=8.804 alpha=90.00 beta=90.00 gamma=90.00
Positions (direct):
In1 0.250 0.250 0.111
In2 0.750 0.750 0.889
As1 0.250 0.250 0.665
As2 0.750 0.750 0.335
Ir1 0.250 0.750 0.500
Ir2 0.750 0.250 0.500
O1 0.250 0.750 0.000
O2 0.750 0.250 0.000

Output
ρ = 9381 kg/m3
total DFT energy (no corrections) = -5.878 eV/atom


U2Pa: optimized geometry, PBE.

Unit cell a=8.371 b=8.371 c=8.371 alpha=60.00 beta=60.00 gamma=60.00
Positions (direct):
U1 0.000 0.000 0.000
U2 0.000 0.000 0.500
U3 0.000 0.500 0.000
U4 0.500 0.000 0.000
Pa1 0.125 0.125 0.125
Pa2 0.875 0.875 0.875

Output
ρ = 5661 kg/m3
ΔE_f = 2.833 eV per atom


TlZnSeF: optimized geometry, PBE.

Unit cell a=10.332 b=19.736 c=4.024 alpha=90.00 beta=90.00 gamma=90.00
Positions (direct):
Tl1 0.144 0.222 0.000
Tl2 0.220 0.046 0.000
Tl3 0.280 0.546 0.000
Tl4 0.356 0.722 0.000
Tl5 0.644 0.278 0.000
Tl6 0.720 0.454 0.000
Tl7 0.780 0.954 0.000
Tl8 0.856 0.778 0.000
Zn1 0.012 0.418 0.500
Zn2 0.164 0.858 0.500
Zn3 0.336 0.358 0.500
Zn4 0.488 0.918 0.500
Zn5 0.512 0.082 0.500
Zn6 0.664 0.642 0.500
Zn7 0.836 0.142 0.500
Zn8 0.988 0.582 0.500
Se1 0.014 0.645 0.000
Se2 0.090 0.906 0.000
Se3 0.410 0.406 0.000
Se4 0.486 0.145 0.000
Se5 0.514 0.855 0.000
Se6 0.590 0.594 0.000
Se7 0.910 0.094 0.000
Se8 0.986 0.355 0.000
F1 0.129 0.501 0.500
F2 0.234 0.768 0.500
F3 0.266 0.268 0.500
F4 0.371 0.001 0.500
F5 0.629 0.999 0.500
F6 0.734 0.732 0.500
F7 0.766 0.232 0.500
F8 0.871 0.499 0.500

Output
ρ = 5954 kg/m3
total DFT energy (no corrections) = -3.349 eV/atom


Re2OsW2: optimized geometry, PBE.

Unit cell a=4.080 b=4.080 c=10.766 alpha=90.00 beta=90.00 gamma=90.00
Positions (direct):
Re1 0.000 0.000 0.111
Re2 0.000 0.000 0.889
Re3 0.500 0.500 0.389
Re4 0.500 0.500 0.611
Os1 0.000 0.000 0.500
Os2 0.500 0.500 0.000
W1 0.000 0.500 0.250
W2 0.000 0.500 0.750
W3 0.500 0.000 0.250
W4 0.500 0.000 0.750

Output
ρ = 17238 kg/m3
ΔE_f = 1.109 eV per atom


PrO: optimized geometry, PBE.

Unit cell a=3.432 b=3.432 c=3.254 alpha=90.00 beta=90.00 gamma=120.00
Positions (direct):
Pr1 0.000 0.000 0.000
O1 0.333 0.667 0.500

Output
ρ = 7847 kg/m3
total DFT energy (no corrections) = -7.298 eV/atom


Pr2ErMg3ZnIn2: optimized geometry, PBE.

Unit cell a=4.685 b=7.537 c=7.537 alpha=118.83 beta=90.00 gamma=90.00
Positions (direct):
Pr1 0.000 0.205 0.795
Pr2 0.000 0.795 0.205
Er1 0.000 0.384 0.384
Mg1 0.500 0.025 0.025
Mg2 0.500 0.556 0.791
Mg3 0.500 0.791 0.556
Zn1 0.000 0.781 0.781
In1 0.500 0.133 0.457
In2 0.500 0.457 0.133

Output
ρ = 5819 kg/m3
total DFT energy (no corrections) = -3.201 eV/atom


TlGeAuS3: optimized geometry, PBE.

Unit cell a=7.233 b=7.233 c=10.257 alpha=90.00 beta=90.00 gamma=150.33
Positions (direct):
Tl1 0.197 0.803 0.750
Tl2 0.803 0.197 0.250
Ge1 0.500 0.500 0.000
Ge2 0.500 0.500 0.500
Au1 0.131 0.869 0.250
Au2 0.869 0.131 0.750
S1 0.123 0.877 0.023
S2 0.123 0.877 0.477
S3 0.466 0.534 0.250
S4 0.534 0.466 0.750
S5 0.877 0.123 0.523
S6 0.877 0.123 0.977

Output
ρ = 7128 kg/m3
total DFT energy (no corrections) = -3.898 eV/atom